LiLa2Ir | meta-GGA SCAN | PBEsol geometry

Lattice parameters (Å, degrees): 7.1491 4.1302 8.9900 90.00 105.52 90.00
With the nearest neighbours (Å) after each atom.
Space group C2/m (No. 12)
Symmetry-distinct sites (fractional):
Li 0.0000 0.0000 0.0000 [2 per cell]  6 La 3.68-3.69
La 0.2258 0.0000 0.6759 [4 per cell]  3 Ir 2.83
Ir 0.0000 0.5000 0.5000 [2 per cell]  6 La 2.83

Computed properties:
The calculation puts the final energy at -40.4187 eV/atom. For the formation energy, the calculation gives -0.4940 eV/atom.